The following is a DFT calculation (PBE-GGA) of a relaxed structure of YRe2W.

a b c (Å): 3.1369 3.1369 7.3885
angles (deg): 90.00 90.00 90.00
Closest atoms and distances in Å follow each position.
Element x y z (fractional)
1 Y 0.0000 0.0000 0.0000  4 Re 3.09, 4 W 3.11, 4 Y 3.14
2 Re 0.0000 0.0000 0.4929  4 Re 2.67, 4 W 2.71
3 Re 0.5000 0.5000 0.2915  4 Re 2.67
4 W 0.5000 0.5000 0.7043  4 Re 2.71

Crystal system ... tetragonal
ΔE to the lowest computed polymorph ... 171 meV/atom
VASP energy ... -10.76 eV per atom
Calculated formation energy ... 0.3182 eV/atom